1.
A plane-wave DFT calculation with GGA-PBE was carried out for a geometry-optimized NaGaAu2 structure.

Magnetic moment in μB/f.u.: 0.00
Final energy in eV/atom: -3.03
Density in g/cm³: 10.133
V in Å³/cell: 319

Cell: 4.044 10.671 7.393 Å, 90.00 90.00 90.00°
Space group Cmcm (No. 63)
One atom of each set of equivalent atoms:
Na 0.000 0.050 0.250 [4 per cell]
Ga 0.000 0.237 0.750 [4 per cell]
Au 0.000 0.368 0.053 [8 per cell]

2.
A plane-wave DFT calculation with GGA-PBE was carried out for a geometry-optimized RbDy4TmS8 structure.

Magnetic moment in μB/f.u.: 0.00
Formation energy without anion corrections in eV per formula unit: -26.6
Final energy in eV/atom: -5.96
Density in g/cm³: 4.854
V in Å³/cell: 1191

Cell: 8.2756 8.2756 20.0889 Å, 90.00 90.00 120.00°
Space group R3m (No. 160, hexagonal axes)
One atom of each set of equivalent atoms:
Rb 0.0000 0.0000 0.0000 [3 per cell]
Dy 0.0000 0.0000 0.2478 [3 per cell]
Dy 0.1730 0.3461 0.4548 [9 per cell]
Tm 0.0000 0.0000 0.6273 [3 per cell]
S 0.0000 0.0000 0.3802 [3 per cell]
S 0.0000 0.0000 0.8547 [3 per cell]
S 0.0529 0.5264 0.3780 [9 per cell]
S 0.1770 0.3541 0.2045 [9 per cell]

3.
A plane-wave DFT calculation with GGA-PBE was carried out for a geometry-optimized La5PmN4 structure.

Magnetic moment in μB/f.u.: 0.00
Formation energy without anion corrections in eV per formula unit: -10.9
Final energy in eV/atom: -7.36
Density in g/cm³: 6.712
V in Å³/cell: 443

Cell: 16.191 3.676 7.622 Å, 90.00 102.36 90.00°
Space group C2/m (No. 12)
One atom of each set of equivalent atoms:
La 0.000 0.000 0.000 [2 per cell]
La 0.156 0.500 0.799 [4 per cell]
La 0.163 0.500 0.348 [4 per cell]
Pm 0.000 0.000 0.500 [2 per cell]
N 0.001 0.500 0.747 [4 per cell]
N 0.164 0.000 0.578 [4 per cell]

4.
A plane-wave DFT calculation with GGA-PBE was carried out for a geometry-optimized LaOsPdPb2 structure.

Magnetic moment in μB/f.u.: 1.24
Final energy in eV/atom: -5.00
Density in g/cm³: 9.805
V in Å³/cell: 144

Cell: 5.147 5.147 5.434 Å, 90.00 90.00 90.00°
Space group P4/mmm (No. 123)
One atom of each set of equivalent atoms:
La 0.000 0.000 0.000 [1 per cell]
Os 0.500 0.500 0.000 [1 per cell]
Pd 0.000 0.000 0.500 [1 per cell]
Pb 0.000 0.500 0.500 [2 per cell]

5.
A plane-wave DFT calculation with GGA-PBE was carried out for a geometry-optimized Pa2TiZn16 structure.

Magnetic moment in μB/f.u.: 0.58
Final energy in eV/atom: -2.58
Density in g/cm³: 8.365
V in Å³/cell: 927

Cell: 8.9927 8.9927 13.2353 Å, 90.00 90.00 120.00°
Space group R3m (No. 160, hexagonal axes)
One atom of each set of equivalent atoms:
Pa 0.0000 0.0000 0.0000 [3 per cell]
Pa 0.0000 0.0000 0.3269 [3 per cell]
Ti 0.0000 0.0000 0.7702 [3 per cell]
Zn 0.0000 0.0000 0.5602 [3 per cell]
Zn 0.9997 0.2912 0.6707 [18 per cell]
Zn 0.0029 0.5015 0.1698 [9 per cell]
Zn 0.0171 0.5085 0.8190 [9 per cell]
Zn 0.1676 0.3353 0.8572 [9 per cell]

6.
A plane-wave DFT calculation with GGA-PBE was carried out for a geometry-optimized PdAuS2Cl structure.

Magnetic moment in μB/f.u.: 0.00
Formation energy without anion corrections in eV per formula unit: 2.8
Final energy in eV/atom: -3.15
Density in g/cm³: 6.278
V in Å³/cell: 107

Cell: 4.723 4.723 4.779 Å, 90.00 90.00 90.00°
Space group P4/mmm (No. 123)
One atom of each set of equivalent atoms:
Pd 0.000 0.000 0.000 [1 per cell]
Au 0.500 0.500 0.500 [1 per cell]
S 0.000 0.500 0.000 [2 per cell]
Cl 0.000 0.000 0.500 [1 per cell]

7.
A plane-wave DFT calculation with GGA-PBE was carried out for a geometry-optimized Na2PO structure.

Magnetic moment in μB/f.u.: 2.91
Formation energy without anion corrections in eV per formula unit: 0.2
Final energy in eV/atom: -3.20
Density in g/cm³: 2.172
V in Å³/cell: 284

Cell: 6.575 6.575 6.575 Å, 90.00 90.00 90.00°
Space group Fm-3m (No. 225)
One atom of each set of equivalent atoms:
Na 0.250 0.250 0.250 [8 per cell]
P 0.000 0.000 0.000 [4 per cell]
O 0.000 0.000 0.500 [4 per cell]

8.
A plane-wave DFT calculation with GGA-PBE was carried out for a geometry-optimized Mn2Tc2Ru structure.

Magnetic moment in μB/f.u.: 0.00
Final energy in eV/atom: -9.51
Density in g/cm³: 10.260
V in Å³/cell: 132

Cell: 6.859 6.859 2.800 Å, 90.00 90.00 90.00°
Space group P4/mbm (No. 127)
One atom of each set of equivalent atoms:
Mn 0.130 0.370 0.000 [4 per cell]
Tc 0.169 0.669 0.500 [4 per cell]
Ru 0.000 0.000 0.000 [2 per cell]

9.
A plane-wave DFT calculation with GGA-PBE was carried out for a geometry-optimized Ho4ScBi3 structure.

Magnetic moment in μB/f.u.: 0.00
Final energy in eV/atom: -5.12
Density in g/cm³: 9.470
V in Å³/cell: 467

Cell: 11.630 4.451 10.082 Å, 90.00 116.51 90.00°
Space group C2/m (No. 12)
One atom of each set of equivalent atoms:
Ho 0.125 0.000 0.395 [4 per cell]
Ho 0.149 0.500 0.852 [4 per cell]
Sc 0.000 0.000 0.000 [2 per cell]
Bi 0.000 0.500 0.500 [2 per cell]
Bi 0.169 0.500 0.197 [4 per cell]

10.
A plane-wave DFT calculation with GGA-PBE was carried out for a geometry-optimized TaFeS2 structure.

Magnetic moment in μB/f.u.: 2.74
Formation energy without anion corrections in eV per formula unit: -1.6
Final energy in eV/atom: -7.55
Density in g/cm³: 7.292
V in Å³/cell: 206

Cell: 3.1936 3.1936 23.2752 Å, 90.00 90.00 120.00°
Space group R-3m (No. 166, hexagonal axes)
One atom of each set of equivalent atoms:
Ta 0.0000 0.0000 0.0000 [3 per cell]
Fe 0.0000 0.0000 0.5000 [3 per cell]
S 0.0000 0.0000 0.4045 [6 per cell]

11.
A plane-wave DFT calculation with GGA-PBE was carried out for a geometry-optimized RbIrRu structure.

Magnetic moment in μB/f.u.: 0.00
Final energy in eV/atom: -5.55
Density in g/cm³: 7.333
V in Å³/cell: 86

Cell: 4.1138 4.1138 5.8520 Å, 90.00 90.00 120.00°
Space group P-6m2 (No. 187)
One atom of each set of equivalent atoms:
Rb 0.0000 0.0000 0.0000 [1 per cell]
Ir 0.6667 0.3333 0.5000 [1 per cell]
Ru 0.3333 0.6667 0.5000 [1 per cell]